Entry 1:
This record from the Alexandria database describes a geometry-optimized Ce3Cd3In2 structure. The functional is GGA-PBE.

Final energy = -3.46 eV per atom
Symmetry = Immm
ΔE to the lowest computed polymorph = 0.0 meV/atom
Energy of formation from the pure elements = -19.64 kJ/mol of atoms
DOS(E_F) = 2.20 states/eV/atom
Crystal system = orthorhombic
Size of the total moment = 3.5 μB/cell

Unit cell a=9.407 b=9.407 c=9.407 alpha=150.03 beta=149.92 gamma=42.98
Fractional positions:
Ce 0.000 0.000 0.000
Ce 0.374 0.874 0.500
Ce 0.626 0.126 0.500
Cd 0.135 0.635 0.500
Cd 0.500 0.500 0.000
Cd 0.865 0.365 0.500
In 0.248 0.248 0.000
In 0.752 0.752 0.000

Entry 2:
This record from the Alexandria database describes a geometry-optimized Ce3Cd3In2 structure. The functional is GGA-PBE.

Final energy = -3.43 eV per atom
Symmetry = P-62m
ΔE to the lowest computed polymorph = 25.0 meV/atom
Energy of formation from the pure elements = -17.22 kJ/mol of atoms
DOS(E_F) = 3.14 states/eV/atom
Crystal system = hexagonal
Size of the total moment = 3.6 μB/cell

Unit cell a=7.454 b=7.454 c=4.695 alpha=90.00 beta=90.00 gamma=120.00
Fractional positions:
Ce 0.000 0.605 0.000
Ce 0.395 0.395 0.000
Ce 0.605 0.000 0.000
Cd 0.000 0.230 0.500
Cd 0.230 0.000 0.500
Cd 0.770 0.770 0.500
In 0.333 0.667 0.500
In 0.667 0.333 0.500

Entry 3:
This record from the Alexandria database describes a geometry-optimized Ce6CdIn2 structure. The functional is GGA-PBE.

Final energy = -4.84 eV per atom
Symmetry = P6/mmm
ΔE to the lowest computed polymorph = 0.0 meV/atom
Energy of formation from the pure elements = -16.76 kJ/mol of atoms
DOS(E_F) = 2.79 states/eV/atom
Crystal system = hexagonal
Size of the total moment = 3.6 μB/cell

Unit cell a=9.198 b=9.198 c=3.054 alpha=90.00 beta=90.00 gamma=120.00
Fractional positions:
Ce 0.000 0.332 0.000
Ce 0.000 0.668 0.000
Ce 0.332 0.000 0.000
Ce 0.332 0.332 0.000
Ce 0.668 0.000 0.000
Ce 0.668 0.668 0.000
Cd 0.000 0.000 0.500
In 0.333 0.667 0.500
In 0.667 0.333 0.500

Entry 4:
This record from the Alexandria database describes a geometry-optimized CeCd4In2 structure. The functional is GGA-PBE.

Final energy = -2.32 eV per atom
Symmetry = P4/mmm
ΔE to the lowest computed polymorph = 0.0 meV/atom
Energy of formation from the pure elements = -15.69 kJ/mol of atoms
DOS(E_F) = 1.09 states/eV/atom
Crystal system = tetragonal
Size of the total moment = 1.0 μB/cell

Unit cell a=4.907 b=4.907 c=7.526 alpha=90.00 beta=90.00 gamma=90.00
Fractional positions:
Ce 0.000 0.000 0.000
Cd 0.000 0.500 0.283
Cd 0.000 0.500 0.717
Cd 0.500 0.000 0.283
Cd 0.500 0.000 0.717
In 0.000 0.000 0.500
In 0.500 0.500 0.000

Entry 5:
This record from the Alexandria database describes a geometry-optimized Ce3Cd4In2 structure. The functional is GGA-PBE.

Final energy = -3.30 eV per atom
Symmetry = C2/m
ΔE to the lowest computed polymorph = 0.0 meV/atom
Energy of formation from the pure elements = -29.25 kJ/mol of atoms
DOS(E_F) = 2.14 states/eV/atom
Crystal system = monoclinic
Size of the total moment = 3.8 μB/cell

Unit cell a=6.141 b=6.141 c=9.477 alpha=117.98 beta=117.98 gamma=49.04
Fractional positions:
Ce 0.000 0.000 0.000
Ce 0.332 0.332 0.331
Ce 0.668 0.668 0.669
Cd 0.064 0.064 0.399
Cd 0.286 0.286 0.955
Cd 0.714 0.714 0.045
Cd 0.936 0.936 0.601
In 0.390 0.390 0.723
In 0.610 0.610 0.277

Entry 6:
This record from the Alexandria database describes a geometry-optimized Ce3CdIn2 structure. The functional is GGA-PBE.

Final energy = -4.33 eV per atom
Symmetry = P4/mmm
Energy of formation from the pure elements = -28.68 kJ/mol of atoms
DOS(E_F) = 2.52 states/eV/atom
Crystal system = tetragonal
Size of the total moment = 2.0 μB/cell

Unit cell a=3.286 b=3.286 c=14.573 alpha=90.00 beta=90.00 gamma=90.00
Fractional positions:
Ce 0.000 0.000 0.000
Ce 0.000 0.000 0.334
Ce 0.000 0.000 0.666
Cd 0.500 0.500 0.500
In 0.500 0.500 0.167
In 0.500 0.500 0.833

Entry 7:
This record from the Alexandria database describes a geometry-optimized CeCdIn6 structure. The functional is GGA-PBE.

Final energy = -3.05 eV per atom
Symmetry = Cmmm
Energy of formation from the pure elements = -13.36 kJ/mol of atoms
DOS(E_F) = 1.13 states/eV/atom
Crystal system = orthorhombic
Size of the total moment = 1.0 μB/cell

Unit cell a=6.746 b=6.746 c=4.954 alpha=90.00 beta=90.00 gamma=110.47
Fractional positions:
Ce 0.000 0.000 0.000
Cd 0.500 0.500 0.000
In 0.000 0.500 0.000
In 0.214 0.786 0.500
In 0.291 0.291 0.500
In 0.500 0.000 0.000
In 0.709 0.709 0.500
In 0.786 0.214 0.500

Entry 8:
This record from the Alexandria database describes a geometry-optimized CeCd3In structure. The functional is GGA-PBE.

Final energy = -2.09 eV per atom
Symmetry = Cmcm
Energy of formation from the pure elements = 18.83 kJ/mol of atoms
DOS(E_F) = 1.94 states/eV/atom
Crystal system = orthorhombic
Size of the total moment = 2.8 μB/cell

Unit cell a=8.148 b=8.148 c=5.555 alpha=90.00 beta=90.00 gamma=118.17
Fractional positions:
Ce 0.223 0.777 0.750
Ce 0.777 0.223 0.250
Cd 0.000 0.000 0.000
Cd 0.000 0.000 0.500
Cd 0.030 0.344 0.750
Cd 0.344 0.030 0.250
Cd 0.656 0.970 0.750
Cd 0.970 0.656 0.250
In 0.460 0.540 0.750
In 0.540 0.460 0.250

Entry 9:
This record from the Alexandria database describes a geometry-optimized Ce2CdIn8 structure. The functional is GGA-PBE.

Final energy = -3.41 eV per atom
Symmetry = P4/mmm
Energy of formation from the pure elements = -25.14 kJ/mol of atoms
DOS(E_F) = 1.23 states/eV/atom
Crystal system = tetragonal
Size of the total moment = 2.0 μB/cell

Unit cell a=4.850 b=4.850 c=12.428 alpha=90.00 beta=90.00 gamma=90.00
Fractional positions:
Ce 0.000 0.000 0.185
Ce 0.000 0.000 0.815
Cd 0.000 0.000 0.500
In 0.000 0.500 0.000
In 0.000 0.500 0.363
In 0.000 0.500 0.637
In 0.500 0.000 0.000
In 0.500 0.000 0.363
In 0.500 0.000 0.637
In 0.500 0.500 0.183
In 0.500 0.500 0.817

Entry 10:
This record from the Alexandria database describes a geometry-optimized CeCdIn4 structure. The functional is GGA-PBE.

Final energy = -3.06 eV per atom
Symmetry = C2/m
Energy of formation from the pure elements = -8.71 kJ/mol of atoms
DOS(E_F) = 1.44 states/eV/atom
Crystal system = monoclinic
Size of the total moment = 1.9 μB/cell

Unit cell a=8.739 b=8.739 c=5.137 alpha=100.47 beta=100.47 gamma=58.73
Fractional positions:
Ce 0.209 0.209 0.141
Ce 0.791 0.791 0.859
Cd 0.445 0.445 0.235
Cd 0.555 0.555 0.765
In 0.069 0.681 0.416
In 0.176 0.824 0.000
In 0.319 0.931 0.584
In 0.340 0.340 0.711
In 0.660 0.660 0.289
In 0.681 0.069 0.416
In 0.824 0.176 0.000
In 0.931 0.319 0.584

Entry 11:
This record from the Alexandria database describes a geometry-optimized Ce3Cd2In3 structure. The functional is GGA-PBE.

Final energy = -3.75 eV per atom
Symmetry = Cmcm
Energy of formation from the pure elements = -25.76 kJ/mol of atoms
DOS(E_F) = 2.11 states/eV/atom
Crystal system = orthorhombic
Size of the total moment = 5.9 μB/cell

Unit cell a=5.987 b=5.987 c=15.901 alpha=90.00 beta=90.00 gamma=131.41
Fractional positions:
Ce 0.032 0.968 0.750
Ce 0.124 0.876 0.028
Ce 0.124 0.876 0.472
Ce 0.876 0.124 0.528
Ce 0.876 0.124 0.972
Ce 0.968 0.032 0.250
Cd 0.307 0.693 0.654
Cd 0.307 0.693 0.846
Cd 0.693 0.307 0.154
Cd 0.693 0.307 0.346
In 0.264 0.736 0.250
In 0.433 0.567 0.098
In 0.433 0.567 0.402
In 0.567 0.433 0.598
In 0.567 0.433 0.902
In 0.736 0.264 0.750

Entry 12:
This record from the Alexandria database describes a geometry-optimized Ce3Cd2In3Ir structure. The functional is GGA-PBE.

Final energy = -4.42 eV per atom
Symmetry = P-62m
Energy of formation from the pure elements = -33.15 kJ/mol of atoms
DOS(E_F) = 2.07 states/eV/atom
Crystal system = hexagonal
Size of the total moment = 2.2 μB/cell

Unit cell a=8.577 b=8.577 c=3.667 alpha=90.00 beta=90.00 gamma=120.00
Fractional positions:
Ce 0.000 0.742 0.000
Ce 0.258 0.258 0.000
Ce 0.742 0.000 0.000
Cd 0.333 0.667 0.000
Cd 0.667 0.333 0.000
In 0.000 0.392 0.500
In 0.392 0.000 0.500
In 0.608 0.608 0.500
Ir 0.000 0.000 0.500

> Number 2 is which compound?

Ce3Cd3In2